1.
Below is a relaxed structure of Re2AsIN, with properties calculated at the PBE level.

Properties
As for the formation energy without anion corrections: 1.197 eV per atom. The space-group type is P4/mmm (123). The total energy is -6.688 eV/atom.

abc: 3.9620 6.4073 3.9620
angles: 90.00 90.00 90.00
Positions (direct):
N  0.0000  0.0000  0.0000
As  0.5000  0.5000  0.5000
Re  0.5000  0.0000  0.0000
Re  0.0000  0.0000  0.5000
I  0.0000  0.5000  0.0000


2.
Below is a relaxed structure of ReAsIN2, with properties calculated at the PBE level.

Properties
The value obtained for the energy above the lowest structure with this stoichiometry is 0.000 eV per atom. As for the formation energy without anion corrections: 0.945 eV per atom. The space-group type is P4/mmm (123). The total energy is -6.115 eV/atom.

abc: 3.9266 3.9266 5.8841
angles: 90.00 90.00 90.00
Positions (direct):
I  0.0000  0.0000  0.5000
N  0.0000  0.5000  0.0000
Re  0.0000  0.0000  0.0000
N  0.5000  0.0000  0.0000
As  0.5000  0.5000  0.5000


3.
Below is a relaxed structure of AsRhI2N, with properties calculated at the PBE level.

Properties
The value obtained for the energy above the lowest structure with this stoichiometry is 0.000 eV per atom. As for the formation energy without anion corrections: 0.655 eV per atom. The space-group type is P4/mmm (123). The total energy is -4.030 eV/atom.

abc: 5.6135 5.6135 3.6935
angles: 90.00 90.00 90.00
Positions (direct):
N  0.0000  0.0000  0.5000
I  0.5000  0.0000  0.0000
Rh  0.0000  0.0000  0.0000
As  0.5000  0.5000  0.5000
I  0.0000  0.5000  0.0000


4.
Below is a relaxed structure of AsRhI2N, with properties calculated at the PBE level.

Properties
The value obtained for the energy above the lowest structure with this stoichiometry is 0.464 eV per atom. As for the formation energy without anion corrections: 1.119 eV per atom. The space-group type is P4/mmm (123). The total energy is -3.566 eV/atom.

abc: 5.8018 5.8018 3.6175
angles: 90.00 90.00 90.00
Positions (direct):
I  0.0000  0.5000  0.0000
Rh  0.5000  0.5000  0.5000
N  0.0000  0.0000  0.5000
As  0.0000  0.0000  0.0000
I  0.5000  0.0000  0.0000


5.
Below is a relaxed structure of AsRhI2N, with properties calculated at the PBE level.

Properties
The value obtained for the energy above the lowest structure with this stoichiometry is 0.732 eV per atom. As for the formation energy without anion corrections: 1.387 eV per atom. The space-group type is P4/mmm (123). The total energy is -3.298 eV/atom.

abc: 5.8204 4.6514 5.8204
angles: 90.00 90.00 90.00
Positions (direct):
N  0.5000  0.5000  0.5000
I  0.0000  0.0000  0.5000
Rh  0.0000  0.5000  0.0000
As  0.0000  0.0000  0.0000
I  0.5000  0.0000  0.0000


6.
Below is a relaxed structure of AsSIN2, with properties calculated at the PBE level.

Properties
The value obtained for the energy above the lowest structure with this stoichiometry is 0.416 eV per atom. As for the formation energy without anion corrections: 1.792 eV per atom. The space-group type is P4/mmm (123). The total energy is -3.603 eV/atom.

abc: 3.7408 3.7408 7.4385
angles: 90.00 90.00 90.00
Positions (direct):
I  0.0000  0.0000  0.5000
N  0.5000  0.0000  0.0000
N  0.0000  0.5000  0.0000
S  0.0000  0.0000  0.0000
As  0.5000  0.5000  0.5000


7.
Below is a relaxed structure of AsSIN2, with properties calculated at the PBE level.

Properties
The value obtained for the energy above the lowest structure with this stoichiometry is 0.526 eV per atom. As for the formation energy without anion corrections: 1.903 eV per atom. The space-group type is P4/mmm (123). The total energy is -3.493 eV/atom.

abc: 3.8949 3.8949 6.9223
angles: 90.00 90.00 90.00
Positions (direct):
I  0.0000  0.0000  0.0000
S  0.0000  0.0000  0.5000
N  0.0000  0.5000  0.0000
As  0.5000  0.5000  0.5000
N  0.5000  0.0000  0.0000


8.
Below is a relaxed structure of AsSI2N, with properties calculated at the PBE level.

Properties
The value obtained for the energy above the lowest structure with this stoichiometry is 0.000 eV per atom. As for the formation energy without anion corrections: 1.027 eV per atom. The space-group type is P4/mmm (123). The total energy is -3.014 eV/atom.

abc: 6.2146 6.2146 3.3031
angles: 90.00 90.00 90.00
Positions (direct):
I  0.5000  0.0000  0.0000
N  0.0000  0.0000  0.5000
I  0.0000  0.5000  0.0000
As  0.5000  0.5000  0.5000
S  0.0000  0.0000  0.0000


What is the formation energy without anion corrections in the first record? 1.197 eV per atom


Which value of total energy does entry 5 give? -3.298 eV/atom


The highest formation energy without anion corrections belongs to which entry? number 7


What is the total energy in the fourth record? -3.566 eV/atom